A relaxed structure of SiPPt2, computed with PBE.

a b c (Å): 4.972 4.915 3.928
angles (deg): 67.36 65.83 46.81
Fractional coordinates of all 4 atoms:
Si: 0.000 0.000 0.000
P: 0.500 0.500 0.500
Pt: 0.000 0.500 0.500
Pt: 0.500 0.000 0.000

Summary:
Calculated volume = 63.1 Å³ per cell
Symmetry = Fmmm (69)
DOS at the Fermi energy = 2.310 states/eV per cell
Raw formation energy = -156 meV per atom

=====

A relaxed structure of Si2PPt, computed with PBE.

a b c (Å): 2.719 4.623 4.721
angles (deg): 90.00 90.00 90.00
Fractional coordinates of all 4 atoms:
Si: 0.000 0.000 0.000
Si: 0.500 0.500 0.000
P: 0.000 0.500 0.500
Pt: 0.500 0.000 0.500

Summary:
Calculated volume = 59.3 Å³ per cell
Symmetry = Pmmm (47)
DOS at the Fermi energy = 2.258 states/eV per cell
Raw formation energy = 237 meV per atom

=====

A relaxed structure of SiPPt, computed with PBE.

a b c (Å): 3.343 3.343 4.766
angles (deg): 90.00 90.00 120.00
Fractional coordinates of all 3 atoms:
Si: 0.000 0.000 0.000
P: 0.333 0.667 0.333
Pt: 0.667 0.333 0.670

Summary:
Calculated volume = 46.1 Å³ per cell
Symmetry = P3m1 (156)
DOS at the Fermi energy = 1.585 states/eV per cell
Raw formation energy = -211 meV per atom

=====

A relaxed structure of SiP2Pt2, computed with PBE.

a b c (Å): 6.241 6.241 6.241
angles (deg): 143.69 143.69 52.30
Fractional coordinates of all 5 atoms:
Si: 0.000 0.000 0.000
P: 0.250 0.750 0.500
P: 0.750 0.250 0.500
Pt: 0.381 0.381 0.000
Pt: 0.619 0.619 0.000

Summary:
Calculated volume = 84.7 Å³ per cell
Symmetry = I4/mmm (139)
DOS at the Fermi energy = 2.973 states/eV per cell
Raw formation energy = 156 meV per atom

=====

A relaxed structure of Si2PPt8, computed with PBE.

a b c (Å): 8.434 8.434 5.540
angles (deg): 102.14 102.14 25.84
Fractional coordinates of all 11 atoms:
Si: 0.177 0.177 0.201
Si: 0.823 0.823 0.799
P: 0.500 0.500 0.500
Pt: 0.028 0.028 0.258
Pt: 0.223 0.223 0.809
Pt: 0.350 0.350 0.534
Pt: 0.402 0.402 0.083
Pt: 0.598 0.598 0.917
Pt: 0.650 0.650 0.466
Pt: 0.777 0.777 0.191
Pt: 0.972 0.972 0.742

Summary:
Calculated volume = 167.7 Å³ per cell
Symmetry = C2/m (12)
DOS at the Fermi energy = 5.033 states/eV per cell
Raw formation energy = -452 meV per atom

=====

A relaxed structure of SiP2Pt, computed with PBE.

a b c (Å): 6.445 6.445 6.445
angles (deg): 31.00 31.00 31.00
Fractional coordinates of all 4 atoms:
Si: 0.000 0.000 0.000
P: 0.496 0.496 0.496
P: 0.733 0.733 0.733
Pt: 0.236 0.236 0.236

Summary:
Calculated volume = 63.0 Å³ per cell
Symmetry = R3m (160)
DOS at the Fermi energy = 1.604 states/eV per cell
Raw formation energy = -129 meV per atom

=====

A relaxed structure of SiPPt2, computed with PBE.

a b c (Å): 3.335 4.735 4.483
angles (deg): 90.00 111.34 90.00
Fractional coordinates of all 4 atoms:
Si: 0.000 0.000 0.000
P: 0.606 0.500 0.222
Pt: 0.700 0.000 0.410
Pt: 0.903 0.500 0.808

Summary:
Calculated volume = 66.0 Å³ per cell
Symmetry = Pm (6)
DOS at the Fermi energy = 1.225 states/eV per cell
Raw formation energy = -488 meV per atom

=====

A relaxed structure of SiP2Pt2, computed with PBE.

a b c (Å): 4.194 4.194 9.993
angles (deg): 90.00 90.00 90.00
Fractional coordinates of all 10 atoms:
Si: 0.250 0.250 0.172
Si: 0.750 0.750 0.828
P: 0.250 0.250 0.851
P: 0.250 0.750 0.500
P: 0.750 0.250 0.500
P: 0.750 0.750 0.149
Pt: 0.250 0.250 0.618
Pt: 0.250 0.750 0.000
Pt: 0.750 0.250 0.000
Pt: 0.750 0.750 0.382

Summary:
Calculated volume = 175.7 Å³ per cell
Symmetry = P4/nmm (129)
DOS at the Fermi energy = 2.314 states/eV per cell
Raw formation energy = -38 meV per atom

=====

A relaxed structure of SiP2Pt, computed with PBE.

a b c (Å): 4.375 4.375 10.842
angles (deg): 90.00 90.00 135.48
Fractional coordinates of all 8 atoms:
Si: 0.058 0.942 0.750
Si: 0.942 0.058 0.250
P: 0.336 0.664 0.529
P: 0.336 0.664 0.971
P: 0.664 0.336 0.029
P: 0.664 0.336 0.471
Pt: 0.352 0.648 0.750
Pt: 0.648 0.352 0.250

Summary:
Calculated volume = 145.5 Å³ per cell
Symmetry = Cmcm (63)
DOS at the Fermi energy = 2.465 states/eV per cell
Raw formation energy = -138 meV per atom

=====

A relaxed structure of SiP2Pt, computed with PBE.

a b c (Å): 2.812 2.812 8.933
angles (deg): 90.00 90.00 120.51
Fractional coordinates of all 4 atoms:
Si: 0.000 0.000 0.000
P: 0.500 0.500 0.260
P: 0.500 0.500 0.740
Pt: 0.000 0.000 0.500

Summary:
Calculated volume = 60.9 Å³ per cell
Symmetry = Cmmm (65)
DOS at the Fermi energy = 2.158 states/eV per cell
Raw formation energy = 395 meV per atom

=====

A relaxed structure of SiP2Pt, computed with PBE.

a b c (Å): 4.367 4.367 4.367
angles (deg): 60.00 60.00 60.00
Fractional coordinates of all 4 atoms:
Si: 0.000 0.000 0.000
P: 0.250 0.250 0.250
P: 0.500 0.500 0.500
Pt: 0.750 0.750 0.750

Summary:
Calculated volume = 58.9 Å³ per cell
Symmetry = F-43m (216)
DOS at the Fermi energy = 2.652 states/eV per cell
Raw formation energy = 386 meV per atom

=====

A relaxed structure of SiP2Pt2, computed with PBE.

a b c (Å): 7.506 7.506 2.792
angles (deg): 90.00 90.00 90.00
Fractional coordinates of all 10 atoms:
Si: 0.000 0.000 0.000
Si: 0.500 0.500 0.000
P: 0.135 0.365 0.500
P: 0.365 0.865 0.500
P: 0.635 0.135 0.500
P: 0.865 0.635 0.500
Pt: 0.175 0.675 0.000
Pt: 0.325 0.175 0.000
Pt: 0.675 0.825 0.000
Pt: 0.825 0.325 0.000

Summary:
Calculated volume = 157.3 Å³ per cell
Symmetry = P4/mbm (127)
DOS at the Fermi energy = 5.451 states/eV per cell
Raw formation energy = 133 meV per atom

=====

Q: Number 5 is which compound?
A: Si2PPt8